VASP calculation (PBE) on a relaxed Zn2GaCo5Ge2 crystal.

It has space group P4/mbm (No. 127), with a = 8.6360 Å, b = 8.6360 Å, c = 3.4528 Å, α = 90.00°, β = 90.00° and γ = 90.00°. The distinct sites, in fractional coordinates, are Zn at (0.1680, 0.3320, 0.0000), Ga at (0.0000, 0.0000, 0.0000), Co at (0.0000, 0.5000, 0.5000), Co at (0.0794, 0.8091, 0.5000) and Ge at (0.1308, 0.6308, 0.0000).

As for the crystal system: tetragonal.


VASP calculation (PBE) on a relaxed SmYZr crystal.

It has space group P2_1/m (No. 11), with a = 3.3880 Å, b = 4.9555 Å, c = 10.4572 Å, α = 90.00°, β = 99.27° and γ = 90.00°. The distinct sites, in fractional coordinates, are Sm at (0.0487, 0.2500, 0.0976), Y at (0.3681, 0.2500, 0.7340) and Zr at (0.2134, 0.2500, 0.4281).

As for the energy above the lowest structure with this stoichiometry: 43 meV per atom. As for the crystal system: monoclinic.


VASP calculation (PBE) on a relaxed Cd5Ag3 crystal.

It has space group C2/m (No. 12), with a = 5.4441 Å, b = 15.4125 Å, c = 8.2539 Å, α = 90.00°, β = 108.96° and γ = 90.00°. The distinct sites, in fractional coordinates, are Cd at (0.0997, 0.1736, 0.1980), Cd at (0.1733, 0.4012, 0.3461), Cd at (0.2494, 0.0000, 0.9992), Ag at (0.0000, 0.2499, 0.5000), Ag at (0.0000, 0.3287, 0.0000) and Ag at (0.1723, 0.0000, 0.3437).

As for the energy above the lowest structure with this stoichiometry: 16 meV per atom. As for the crystal system: monoclinic.


VASP calculation (PBE) on a relaxed Ti5NbIn3 crystal.

It has space group I4/mcm (No. 140), with a = 7.2219 Å, b = 7.2219 Å, c = 13.6639 Å, α = 90.00°, β = 90.00° and γ = 90.00°. The distinct sites, in fractional coordinates, are Ti at (0.0000, 0.0000, 0.0000), Ti at (0.2081, 0.2919, 0.1438), Nb at (0.0000, 0.5000, 0.2500), In at (0.0000, 0.0000, 0.2500) and In at (0.1248, 0.3752, 0.5000).

As for the crystal system: tetragonal.


| no. | E_form (meV per atom) | DOS at the Fermi energy (states/eV per atom) | raw total energy (eV/atom) |
| --- | --- | --- | --- |
| 1 | 21 | 0.685 | -5.01 |
| 2 | 141 | 1.371 | -6.44 |
| 3 | -15 | 0.135 | -1.66 |
| 4 | 287 | 1.290 | -6.13 |